Entry from Alexandria: a geometry-optimized Cs8Te2Pt structure (PBE).

Computed properties:
V: 708.10 Å³ per cell
N(E_F): 3.55 states/eV/f.u.
Uncorrected formation energy: -0.54 eV/atom
E: -2.278 eV/atom

Geometry as POSCAR:
```
Cs8Te2Pt
1.0
6.272 0.000 0.000
-3.136 10.245 -1.800
0.000 0.048 11.011
Cs Te Pt
8 2 1
direct
0.441 0.881 0.282
0.683 0.367 0.065
0.812 0.624 0.440
0.935 0.869 0.844
0.188 0.376 0.560
0.317 0.633 0.935
0.559 0.119 0.718
0.065 0.131 0.156
0.748 0.496 0.752
0.252 0.504 0.248
0.500 0.000 0.000
```

***

Entry from Alexandria: a geometry-optimized CsTePt3 structure (PBE).

Computed properties:
V: 142.34 Å³ per cell
N(E_F): 6.87 states/eV/f.u.
Uncorrected formation energy: 1.95 eV/atom
E: -2.476 eV/atom
E above lowest polymorph: 1614 meV/atom

Geometry as POSCAR:
```
CsTePt3
1.0
5.221 0.000 0.000
0.000 5.221 0.000
0.000 0.000 5.221
Cs Te Pt
1 1 3
direct
0.000 0.000 0.000
0.500 0.500 0.500
0.000 0.500 0.000
0.000 0.000 0.500
0.500 0.000 0.000
```

***

Entry from Alexandria: a geometry-optimized CsTe2Pt structure (PBE).

Computed properties:
V: 295.58 Å³ per cell
N(E_F): 4.15 states/eV/f.u.
Uncorrected formation energy: -0.49 eV/atom
E: -3.783 eV/atom

Geometry as POSCAR:
```
CsTe2Pt
1.0
-3.464 -7.153 -3.129
7.409 -1.933 -3.784
3.140 -6.558 -0.141
Cs Te Pt
2 4 2
direct
0.500 0.500 0.000
0.250 0.750 0.500
0.741 0.125 0.250
0.009 0.625 0.250
0.375 0.259 0.750
0.875 0.991 0.750
0.000 0.000 0.000
0.750 0.250 0.500
```

***

Entry from Alexandria: a geometry-optimized CsTe2Pt2 structure (PBE).

Computed properties:
V: 169.79 Å³ per cell
N(E_F): 1.64 states/eV/f.u.
Uncorrected formation energy: -0.42 eV/atom
E: -4.261 eV/atom
E above lowest polymorph: 61 meV/atom

Geometry as POSCAR:
```
CsTe2Pt2
1.0
-3.407 -3.649 -1.445
3.925 -3.154 -1.289
0.292 -5.743 4.466
Cs Te Pt
1 2 2
direct
0.000 0.000 0.000
0.750 0.250 0.500
0.250 0.750 0.500
0.306 0.306 0.387
0.694 0.694 0.613
```

***

Entry from Alexandria: a geometry-optimized CsTe2Pt structure (PBE).

Computed properties:
V: 133.95 Å³ per cell
N(E_F): 5.44 states/eV/f.u.
Uncorrected formation energy: -0.46 eV/atom
E: -3.750 eV/atom

Geometry as POSCAR:
```
CsTe2Pt
1.0
-8.516 -0.949 1.629
-6.833 -4.812 2.493
-6.623 -1.671 5.423
Cs Te Pt
1 2 1
direct
0.500 0.500 0.500
0.282 0.282 0.282
0.718 0.718 0.718
0.000 0.000 0.000
```

***

Entry from Alexandria: a geometry-optimized CsTePt structure (PBE).

Computed properties:
V: 437.96 Å³ per cell
N(E_F): 1.25 states/eV/f.u.
Uncorrected formation energy: -0.57 eV/atom
E: -3.912 eV/atom

Geometry as POSCAR:
```
CsTePt
1.0
7.740 0.000 0.000
0.000 8.459 -0.804
0.000 -4.518 7.119
Cs Te Pt
4 4 4
direct
0.604 0.292 0.684
0.104 0.208 0.316
0.396 0.708 0.316
0.896 0.792 0.684
0.601 0.223 0.171
0.101 0.277 0.829
0.399 0.777 0.829
0.899 0.723 0.171
0.836 0.366 0.073
0.336 0.134 0.927
0.164 0.634 0.927
0.664 0.866 0.073
```

***

Entry from Alexandria: a geometry-optimized CsTePt structure (PBE).

Computed properties:
V: 105.77 Å³ per cell
N(E_F): 2.08 states/eV/f.u.
Uncorrected formation energy: -0.58 eV/atom
E: -3.929 eV/atom

Geometry as POSCAR:
```
CsTePt
1.0
5.971 0.000 0.000
0.000 4.523 0.000
0.000 -2.261 3.917
Cs Te Pt
1 1 1
direct
0.666 0.667 0.333
0.166 0.333 0.667
0.167 0.000 0.000
```

***

Entry from Alexandria: a geometry-optimized CsTePt3 structure (PBE).

Computed properties:
V: 137.30 Å³ per cell
N(E_F): 13.12 states/eV/f.u.
Uncorrected formation energy: 0.33 eV/atom
E: -4.090 eV/atom
E above lowest polymorph: 0 meV/atom

Geometry as POSCAR:
```
CsTePt3
1.0
-1.807 1.242 4.670
3.032 -3.591 2.128
3.762 3.490 0.528
Cs Te Pt
1 1 3
direct
0.500 0.500 0.500
0.000 0.000 0.000
0.000 0.500 0.000
0.000 0.000 0.500
0.500 0.000 0.000
```

***

Entry from Alexandria: a geometry-optimized CsTe3Pt structure (PBE).

Computed properties:
V: 167.21 Å³ per cell
N(E_F): 4.58 states/eV/f.u.
Uncorrected formation energy: -0.20 eV/atom
E: -3.468 eV/atom

Geometry as POSCAR:
```
CsTe3Pt
1.0
5.509 0.000 0.000
0.000 5.509 0.000
0.000 0.000 5.509
Cs Te Pt
1 3 1
direct
0.500 0.500 0.500
0.000 0.500 0.000
0.000 0.000 0.500
0.500 0.000 0.000
0.000 0.000 0.000
```

***

Entry from Alexandria: a geometry-optimized CsTe2Pt structure (PBE).

Computed properties:
V: 132.62 Å³ per cell
N(E_F): 4.13 states/eV/f.u.
Uncorrected formation energy: -0.48 eV/atom
E: -3.771 eV/atom

Geometry as POSCAR:
```
CsTe2Pt
1.0
-2.357 3.265 1.273
-3.179 1.378 -2.415
-7.203 -3.866 3.583
Cs Te Pt
1 2 1
direct
0.501 0.501 0.498
0.051 0.051 0.847
0.281 0.281 0.157
0.667 0.667 0.999
```

***

Entry from Alexandria: a geometry-optimized CsTe2Pt structure (PBE).

Computed properties:
V: 298.21 Å³ per cell
N(E_F): 1.84 states/eV/f.u.
Uncorrected formation energy: -0.60 eV/atom
E: -3.890 eV/atom

Geometry as POSCAR:
```
CsTe2Pt
1.0
-1.214 -0.923 3.747
-3.799 -4.571 -4.541
7.491 -6.939 0.718
Cs Te Pt
2 4 2
direct
0.851 0.702 0.250
0.149 0.298 0.750
0.399 0.798 0.584
0.601 0.202 0.416
0.601 0.202 0.084
0.399 0.798 0.916
0.099 0.199 0.250
0.901 0.801 0.750
```

***

Entry from Alexandria: a geometry-optimized CsTePt structure (PBE).

Computed properties:
V: 204.83 Å³ per cell
N(E_F): 1.21 states/eV/f.u.
Uncorrected formation energy: -0.18 eV/atom
E: -3.525 eV/atom

Geometry as POSCAR:
```
CsTePt
1.0
-4.503 -2.778 3.162
4.792 -3.556 -1.547
4.307 4.457 3.458
Te Cs Pt
2 2 2
direct
0.304 0.625 0.929
0.696 0.375 0.071
0.000 0.000 0.500
0.500 0.500 0.500
0.153 0.898 0.051
0.847 0.102 0.949
```